Below is an optimized crystal structure of BaBiPd4, with properties calculated at the PBE level.

```
BaBiPd4
1.0
-4.739 -2.716 1.353
-0.696 -2.021 5.205
-3.722 2.396 3.474
Pd Bi Ba
4 1 1
Direct
0.626 0.626 0.626
0.122 0.626 0.626
0.626 0.122 0.626
0.626 0.626 0.122
0.000 0.000 0.000
0.250 0.250 0.250
```

Results
Total moment ... 0.0 μB per cell
ΔH_f (0 K) ... -314 meV per atom
Mass density ... 10.2 g/cm3